Entry 1:
Density functional theory data (GGA-PBE) for an optimized crystal structure of NaTmCdSe3.

Properties
- ρ (g/cm3) = 5.33
- E_tot (eV/atom) = -4.1045
- energy above the lowest structure with this stoichiometry (eV/atom) = 0.0000
- M_tot (μB/cell) = 0.02

a b c (Å): 8.170 4.159 10.324
angles (deg): 90.00 106.14 90.00
Space group P2_1/m (No. 11)
Asymmetric unit:
Na  0.199  0.250  0.183 [2 per cell]
Tm  0.326  0.750  0.859 [2 per cell]
Cd  0.077  0.250  0.608 [2 per cell]
Se  0.083  0.250  0.864 [2 per cell]
Se  0.256  0.750  0.558 [2 per cell]
Se  0.440  0.750  0.143 [2 per cell]

Entry 2:
Density functional theory data (GGA-PBE) for an optimized crystal structure of CoW2.

Properties
- ρ (g/cm3) = 16.48
- E_tot (eV/atom) = -10.8739
- E_form (eV per atom) = 0.14
- energy above the lowest structure with this stoichiometry (eV/atom) = 0.1220
- M_tot (μB/cell) = 0.00

a b c (Å): 4.957 8.601 8.067
angles (deg): 90.00 90.00 90.00
Space group Cmcm (No. 63)
Asymmetric unit:
Co  0.241  0.077  0.250 [8 per cell]
W  0.000  0.166  0.574 [8 per cell]
W  0.000  0.313  0.250 [4 per cell]
W  0.000  0.500  0.000 [4 per cell]

Entry 3:
Density functional theory data (GGA-PBE) for an optimized crystal structure of SrZnCdIn2.

Properties
- ρ (g/cm3) = 6.30
- E_tot (eV/atom) = -2.1608

a b c (Å): 4.601 4.601 12.317
angles (deg): 90.00 90.00 90.00
Space group I4mm (No. 107)
Asymmetric unit:
Sr  0.000  0.000  0.000 [2 per cell]
Zn  0.000  0.000  0.607 [2 per cell]
Cd  0.000  0.000  0.394 [2 per cell]
In  0.000  0.500  0.240 [4 per cell]

Entry 4:
Density functional theory data (GGA-PBE) for an optimized crystal structure of Ba2ZrP6Os.

Properties
- ρ (g/cm3) = 5.22
- E_tot (eV/atom) = -5.9958
- M_tot (μB/cell) = 0.03

a b c (Å): 9.808 9.808 9.808
angles (deg): 90.00 90.00 90.00
Space group Fm-3m (No. 225)
Asymmetric unit:
Ba  0.250  0.250  0.250 [8 per cell]
Zr  0.000  0.000  0.000 [4 per cell]
P  0.000  0.000  0.259 [24 per cell]
Os  0.000  0.000  0.500 [4 per cell]

Entry 5:
Density functional theory data (GGA-PBE) for an optimized crystal structure of HgIr15.

Properties
- ρ (g/cm3) = 13.56
- E_tot (eV/atom) = -8.1340
- E_form (eV per atom) = 0.19
- energy above the lowest structure with this stoichiometry (eV/atom) = 0.0589
- M_tot (μB/cell) = 0.00

a b c (Å): 4.728 35.848 4.727
angles (deg): 90.00 109.48 90.00
Space group P2/c (No. 13)
Asymmetric unit:
Hg  0.000  0.200  0.250 [2 per cell]
Ir  0.000  0.252  0.750 [2 per cell]
Ir  0.000  0.290  0.250 [2 per cell]
Ir  0.000  0.328  0.750 [2 per cell]
Ir  0.000  0.367  0.250 [2 per cell]
Ir  0.000  0.404  0.750 [2 per cell]
Ir  0.000  0.442  0.250 [2 per cell]
Ir  0.000  0.481  0.750 [2 per cell]
Ir  0.500  0.216  0.750 [2 per cell]
Ir  0.500  0.252  0.250 [2 per cell]
Ir  0.500  0.290  0.750 [2 per cell]
Ir  0.500  0.328  0.250 [2 per cell]
Ir  0.500  0.366  0.750 [2 per cell]
Ir  0.500  0.404  0.250 [2 per cell]
Ir  0.500  0.443  0.750 [2 per cell]
Ir  0.500  0.481  0.250 [2 per cell]

Entry 6:
Density functional theory data (GGA-PBE) for an optimized crystal structure of Lu2CoCu.

Properties
- ρ (g/cm3) = 11.36
- E_tot (eV/atom) = -4.8205
- E_form (eV per atom) = 0.15
- M_tot (μB/cell) = 0.49

a b c (Å): 6.512 6.512 6.512
angles (deg): 90.00 90.00 90.00
Space group F-43m (No. 216)
Asymmetric unit:
Lu  0.000  0.000  0.000 [4 per cell]
Lu  0.250  0.250  0.250 [4 per cell]
Co  0.250  0.250  0.750 [4 per cell]
Cu  0.000  0.000  0.500 [4 per cell]